Crystalline Pm3Dy2Y6Mg at its relaxed geometry. Source: Alexandria, functional GGA-PBE.

POSCAR file:
```
Pm3Dy2Y6Mg
1.0
3.093 -5.361 0.000
3.093 5.361 0.000
-2.078 0.000 11.593
Pm Dy Y Mg
3 2 6 1
Direct
0.000 0.000 0.000
0.334 0.666 0.000
0.666 0.334 0.000
0.166 0.834 0.500
0.834 0.166 0.500
0.087 0.419 0.255
0.249 0.249 0.746
0.419 0.087 0.255
0.581 0.913 0.745
0.751 0.751 0.254
0.913 0.581 0.745
0.500 0.500 0.500
```

## Properties
Space group = C2/m (12)
Formation enthalpy at 0 K = 31 meV/atom
Size of the total moment = 0.000 μB per atom